(1)
# Cs3Pr2BiTe6

Crystalline Cs3Pr2BiTe6 at its relaxed geometry (PBE-GGA, Alexandria).

As for the formation energy from raw total energies: -1.15 eV/atom. As for the calculated volume: 42.79 Å³ per atom. The space-group type is No. 12. Its total energy is -4.051 eV per atom. The theoretical density comes out at 5.35 g/cm3.

Cell lengths 8.1432, 8.1432, 9.3440 Å; angles 98.35, 98.35, 120.00 degrees
Closest atoms and distances in Å follow each position.
Atoms (fractional coordinates):
1 Pr 0.6665 0.3335 0.0000  6 Te 3.24
2 Bi 0.0000 0.0000 0.0000  6 Te 3.20
3 Pr 0.3335 0.6665 0.0000  6 Te 3.24
4 Te 0.9352 0.6051 0.8055  1 Bi 3.20, 2 Pr 3.24
5 Te 0.3949 0.0648 0.1945  1 Bi 3.20, 2 Pr 3.24
6 Te 0.2649 0.2649 0.8048  1 Bi 3.20, 2 Pr 3.24
7 Te 0.6051 0.9352 0.8055  1 Bi 3.20, 2 Pr 3.24
8 Cs 0.8323 0.1677 0.5000  6 Te 3.84-3.86
9 Te 0.0648 0.3949 0.1945  1 Bi 3.20, 2 Pr 3.24
10 Te 0.7351 0.7351 0.1952  1 Bi 3.20, 2 Pr 3.24
11 Cs 0.1677 0.8323 0.5000  6 Te 3.84-3.86
12 Cs 0.5000 0.5000 0.5000  6 Te 3.84-3.87

=====

(2)
# LaSbO

Crystalline LaSbO at its relaxed geometry (PBE-GGA, Alexandria).

As for the formation energy from raw total energies: -2.27 eV/atom. The energy above the lowest structure with this stoichiometry comes out at 9 meV per atom. As for the calculated volume: 24.33 Å³ per atom. The space-group type is No. 139. Its total energy is -6.940 eV per atom. The theoretical density comes out at 6.30 g/cm3.

Cell lengths 4.3118, 4.3124, 8.4215 Å; angles 75.16, 75.16, 90.00 degrees
Closest atoms and distances in Å follow each position.
Atoms (fractional coordinates):
1 Sb 0.9042 0.3441 0.1085  4 Sb 3.05
2 Sb 0.4042 0.8443 0.1085  4 Sb 3.05
3 O 0.6542 0.0945 0.6085  4 La 2.44
4 O 0.1542 0.5946 0.6085  4 La 2.44
5 La 0.5820 0.5223 0.7528  4 O 2.44
6 La 0.2264 0.1667 0.4642  4 O 2.44

=====

(3)
# CaCeNd2Se4

Crystalline CaCeNd2Se4 at its relaxed geometry (PBE-GGA, Alexandria).

As for the formation energy from raw total energies: -1.86 eV/atom. As for the calculated volume: 26.52 Å³ per atom. The space-group type is No. 10. Its total energy is -5.789 eV per atom. The theoretical density comes out at 6.14 g/cm3.

Cell lengths 4.1985, 7.3029, 7.3287 Å; angles 70.79, 90.00, 90.00 degrees
Closest atoms and distances in Å follow each position.
Atoms (fractional coordinates):
1 Se 0.0000 0.7452 0.7481  1 Ca 2.94, 2 Ce 2.97, 3 Nd 2.99-3.02
2 Ca 0.0000 0.5000 0.5000  6 Se 2.94-2.95
3 Ce 0.5000 0.5000 0.0000  6 Se 2.97
4 Se 0.5000 0.2563 0.7453  2 Ca 2.95, 1 Ce 2.97, 3 Nd 2.99-3.02
5 Nd 0.0000 0.0000 0.0000  6 Se 3.02
6 Se 0.0000 0.2548 0.2519  1 Ca 2.94, 2 Ce 2.97, 3 Nd 2.99-3.02
7 Nd 0.5000 0.0000 0.5000  6 Se 2.99
8 Se 0.5000 0.7437 0.2547  2 Ca 2.95, 1 Ce 2.97, 3 Nd 2.99-3.02

=====

(4)
# V2Ir2Rh7

Crystalline V2Ir2Rh7 at its relaxed geometry (PBE-GGA, Alexandria).

The formation energy is 7.2 kJ/mol of atoms. As for the calculated volume: 14.81 Å³ per atom. The space-group type is No. 12. Its total energy is -7.872 eV per atom. The theoretical density comes out at 12.30 g/cm3.

Cell lengths 4.6391, 8.9249, 6.2867 Å; angles 44.78, 71.00, 62.70 degrees
Closest atoms and distances in Å follow each position.
Atoms (fractional coordinates):
1 Rh 0.0000 0.0000 0.0000  6 Rh 2.55-2.60
2 Rh 0.1616 0.0774 0.5097  6 Rh 2.50-2.79, 3 Ir 2.64-2.75, 1 V 2.75
3 V 0.2120 0.6129 0.0000  4 Rh 2.50-2.75, 1 V 2.50
4 Ir 0.5000 0.2054 0.5892  10 Rh 2.64-2.95, 2 V 2.89
5 Rh 0.8384 0.4129 0.5097  6 Rh 2.50-2.79, 3 Ir 2.64-2.75, 1 V 2.75
6 Rh 0.1616 0.5871 0.4903  6 Rh 2.50-2.79, 3 Ir 2.64-2.75, 1 V 2.75
7 V 0.7880 0.3871 0.0000  4 Rh 2.50-2.75, 1 V 2.50
8 Rh 0.5795 0.7475 0.0000  2 V 2.50-2.61, 5 Rh 2.50-2.77, 2 Ir 2.79
9 Rh 0.4205 0.2525 0.0000  2 V 2.50-2.61, 5 Rh 2.50-2.77, 2 Ir 2.79
10 Rh 0.8384 0.9226 0.4903  6 Rh 2.50-2.79, 3 Ir 2.64-2.75, 1 V 2.75
11 Ir 0.5000 0.7946 0.4108  10 Rh 2.64-2.95, 2 V 2.89

=====

(5)
# CeSmAgSb

Crystalline CeSmAgSb at its relaxed geometry (PBE-GGA, Alexandria).

As for the formation energy from raw total energies: -0.53 eV/atom. As for the calculated volume: 27.10 Å³ per atom. The space-group type is No. 216. Its total energy is -4.933 eV per atom. The theoretical density comes out at 7.97 g/cm3.

Cell lengths 5.3518, 5.3518, 5.3518 Å; angles 60.00, 60.00, 60.00 degrees
Closest atoms and distances in Å follow each position.
Atoms (fractional coordinates):
1 Sb 0.7500 0.7500 0.7500  4 Sm 3.28, 4 Ce 3.28
2 Ce 0.0000 0.0000 0.0000  4 Sb 3.28, 4 Ag 3.28
3 Sm 0.5000 0.5000 0.5000  4 Ag 3.28, 4 Sb 3.28
4 Ag 0.2500 0.2500 0.2500  4 Sm 3.28, 4 Ce 3.28

=====

(6)
# Li3CeNi8

Crystalline Li3CeNi8 at its relaxed geometry (PBE-GGA, Alexandria).

The formation energy is -18.0 kJ/mol of atoms. As for the calculated volume: 13.23 Å³ per atom. The space-group type is No. 160. Its total energy is -5.014 eV per atom. The theoretical density comes out at 6.59 g/cm3.

Cell lengths 4.8232, 4.8232, 8.3591 Å; angles 73.23, 73.23, 60.00 degrees
Closest atoms and distances in Å follow each position.
Atoms (fractional coordinates):
1 Ni 0.6885 0.6885 0.9345  6 Ni 2.38-2.39
2 Ni 0.4400 0.9394 0.1805  6 Ni 2.39-2.47
3 Ni 0.1872 0.1872 0.4385  6 Ni 2.42-2.47
4 Ni 0.9394 0.4400 0.1805  6 Ni 2.39-2.47
5 Li 0.4873 0.4873 0.5380  1 Li 2.68, 9 Ni 2.69-2.89
6 Ce 0.8755 0.8755 0.3735  12 Ni 2.83-2.85, 4 Li 3.07-3.12
7 Ni 0.9372 0.4363 0.6893  6 Ni 2.38-2.42, 1 Li 2.67
8 Li 0.3740 0.3740 0.8781  4 Li 2.68-2.89, 12 Ni 2.76-2.83
9 Ni 0.9372 0.9372 0.6893  6 Ni 2.38-2.42, 1 Li 2.67
10 Li 0.0073 0.0073 0.9780  12 Ni 2.67-2.89, 3 Li 2.89
11 Ni 0.4400 0.4400 0.1805  6 Ni 2.39-2.47
12 Ni 0.4363 0.9372 0.6893  6 Ni 2.38-2.42, 1 Li 2.67

=====

(7)
# In4Pd2RhAu

Crystalline In4Pd2RhAu at its relaxed geometry (PBE-GGA, Alexandria).

The formation energy is -34.8 kJ/mol of atoms. As for the calculated volume: 18.34 Å³ per atom. The space-group type is No. 166. Its total energy is -4.356 eV per atom. The theoretical density comes out at 11.00 g/cm3.

Cell lengths 4.6611, 4.6611, 8.2487 Å; angles 73.59, 73.59, 60.00 degrees
Closest atoms and distances in Å follow each position.
Atoms (fractional coordinates):
1 In 0.1279 0.1279 0.6162  4 Pd 2.80-2.87, 3 Rh 2.84, 1 Au 2.99
2 In 0.3786 0.3786 0.8641  1 Rh 2.84, 4 Pd 2.85-3.07, 3 Au 2.89
3 Au 0.0000 0.0000 0.0000  8 In 2.89-2.99
4 In 0.6214 0.6214 0.1359  1 Rh 2.84, 4 Pd 2.85-3.07, 3 Au 2.89
5 Pd 0.7526 0.7526 0.7423  8 In 2.80-3.07
6 Rh 0.5000 0.5000 0.5000  8 In 2.84
7 Pd 0.2474 0.2474 0.2577  8 In 2.80-3.07
8 In 0.8721 0.8721 0.3838  4 Pd 2.80-2.87, 3 Rh 2.84, 1 Au 2.99

=====

(8)
# Tb4SmAu4

Crystalline Tb4SmAu4 at its relaxed geometry (PBE-GGA, Alexandria).

The formation energy is -58.4 kJ/mol of atoms. As for the calculated volume: 28.47 Å³ per atom. The space-group type is No. 86. Its total energy is -4.644 eV per atom. The theoretical density comes out at 10.20 g/cm3.

Cell lengths 5.9909, 9.2489, 9.2489 Å; angles 90.00, 90.00, 90.00 degrees
Closest atoms and distances in Å follow each position.
Atoms (fractional coordinates):
1 Au 0.9090 0.2868 0.8787  5 Tb 2.90-3.06, 1 Sm 2.93, 1 Au 3.12
2 Tb 0.4153 0.3172 0.9058  5 Au 2.90-3.06
3 Au 0.0910 0.8787 0.7133  5 Tb 2.90-3.06, 1 Sm 2.93, 1 Au 3.12
4 Au 0.4090 0.3787 0.2132  5 Tb 2.90-3.06, 1 Sm 2.93, 1 Au 3.12
5 Sm 0.0000 0.0000 0.0000  4 Au 2.93
6 Tb 0.0847 0.8172 0.4058  5 Au 2.90-3.06
7 Tb 0.5847 0.0942 0.3172  5 Au 2.90-3.06
8 Tb 0.9153 0.5942 0.8172  5 Au 2.90-3.06
9 Tb 0.5847 0.9058 0.6828  5 Au 2.90-3.06
10 Tb 0.0847 0.1828 0.5942  5 Au 2.90-3.06
11 Tb 0.9153 0.4058 0.1828  5 Au 2.90-3.06
12 Au 0.4090 0.6213 0.7867  5 Tb 2.90-3.06, 1 Sm 2.93, 1 Au 3.12
13 Au 0.5910 0.2132 0.6213  5 Tb 2.90-3.06, 1 Sm 2.93, 1 Au 3.12
14 Sm 0.5000 0.5000 0.5000  4 Au 2.93
15 Au 0.0910 0.1213 0.2868  5 Tb 2.90-3.06, 1 Sm 2.93, 1 Au 3.12
16 Au 0.9090 0.7133 0.1213  5 Tb 2.90-3.06, 1 Sm 2.93, 1 Au 3.12
17 Tb 0.4153 0.6828 0.0942  5 Au 2.90-3.06
18 Au 0.5910 0.7867 0.3787  5 Tb 2.90-3.06, 1 Sm 2.93, 1 Au 3.12

=====

(9)
# SiWBr2

Crystalline SiWBr2 at its relaxed geometry (PBE-GGA, Alexandria).

As for the formation energy from raw total energies: 0.51 eV/atom. The energy above the lowest structure with this stoichiometry comes out at 383 meV per atom. As for the calculated volume: 22.53 Å³ per atom. The space-group type is No. 35. Its total energy is -4.917 eV per atom. The theoretical density comes out at 6.85 g/cm3.

Cell lengths 3.3766, 3.3766, 9.7516 Å; angles 90.00, 90.00, 125.84 degrees
Closest atoms and distances in Å follow each position.
Atoms (fractional coordinates):
1 W 0.5000 0.5000 0.7269  2 Si 2.52, 2 Br 2.56
2 Br 0.0000 0.0000 0.9363  2 W 2.56
3 Si 0.0000 0.0000 0.5219  2 W 2.52, 2 Br 2.54
4 Br 0.5000 0.5000 0.3148  2 Si 2.54

=====

(10)
# EuGdMg

Crystalline EuGdMg at its relaxed geometry (PBE-GGA, Alexandria).

The energy above the lowest structure with this stoichiometry comes out at 336 meV per atom. The formation energy is 38.5 kJ/mol of atoms. As for the calculated volume: 33.63 Å³ per atom. The space-group type is No. 107. Its total energy is -8.251 eV per atom. The theoretical density comes out at 5.49 g/cm3.

Cell lengths 3.2902, 3.2902, 9.6060 Å; angles 99.86, 99.86, 90.00 degrees
Closest atoms and distances in Å follow each position.
Atoms (fractional coordinates):
1 Mg 0.1775 0.1775 0.3550  1 Gd 3.26, 4 Mg 3.29, 4 Eu 3.53
2 Eu 0.8196 0.8196 0.6393  4 Eu 3.29, 1 Gd 3.42, 4 Mg 3.53
3 Gd 0.0028 0.0028 0.0057  1 Mg 3.26, 4 Gd 3.29, 1 Eu 3.42

=====

(11)
# TcRuOF2

Crystalline TcRuOF2 at its relaxed geometry (PBE-GGA, Alexandria).

As for the formation energy from raw total energies: -0.21 eV/atom. The energy above the lowest structure with this stoichiometry comes out at 87 meV per atom. As for the calculated volume: 14.37 Å³ per atom. The space-group type is No. 123. Its total energy is -5.874 eV per atom. The theoretical density comes out at 5.85 g/cm3.

Cell lengths 4.3935, 4.3935, 3.7232 Å; angles 90.00, 90.00, 90.00 degrees
Closest atoms and distances in Å follow each position.
Atoms (fractional coordinates):
1 F 0.0000 0.5000 0.0000  2 Ru 2.20
2 Ru 0.0000 0.0000 0.0000  2 O 1.86
3 Tc 0.5000 0.5000 0.5000  8 F 2.88, 4 O 3.11
4 O 0.0000 0.0000 0.5000  2 Ru 1.86
5 F 0.5000 0.0000 0.0000  2 Ru 2.20

=====

(12)
# La4Tb3Sm

Crystalline La4Tb3Sm at its relaxed geometry (PBE-GGA, Alexandria).

The energy above the lowest structure with this stoichiometry comes out at 0 meV per atom. The formation energy is 2.2 kJ/mol of atoms. As for the calculated volume: 34.68 Å³ per atom. The space-group type is No. 59. Its total energy is -4.767 eV per atom. The theoretical density comes out at 7.08 g/cm3.

Cell lengths 5.1761, 10.3556, 10.3525 Å; angles 90.00, 90.00, 90.00 degrees
Closest atoms and distances in Å follow each position.
Atoms (fractional coordinates):
1 La 0.0644 0.8722 0.5000  8 La 3.66-3.71, 2 Tb 3.69, 2 Sm 3.69
2 Sm 0.0644 0.3822 0.0000  8 Tb 3.56-3.66, 4 La 3.69
3 La 0.0644 0.1282 0.2501  8 La 3.66-3.71, 3 Tb 3.68-3.69, 1 Sm 3.69
4 La 0.0644 0.8710 0.0000  8 La 3.66-3.71, 4 Tb 3.68
5 Tb 0.5644 0.6185 0.0000  2 Sm 3.56, 6 Tb 3.56-3.66, 4 La 3.68
6 Tb 0.5644 0.3821 0.2500  3 Sm 3.56-3.66, 5 Tb 3.56-3.66, 4 La 3.68-3.69
7 Tb 0.0644 0.6179 0.7500  3 Sm 3.56-3.66, 5 Tb 3.56-3.66, 4 La 3.68-3.69
8 La 0.5644 0.8718 0.2499  8 La 3.66-3.71, 3 Tb 3.68-3.69, 1 Sm 3.69
9 La 0.5644 0.1278 0.0000  8 La 3.66-3.71, 2 Tb 3.69, 2 Sm 3.69
10 Sm 0.5644 0.6178 0.5000  8 Tb 3.56-3.66, 4 La 3.69
11 La 0.5644 0.8718 0.7501  8 La 3.66-3.71, 3 Tb 3.68-3.69, 1 Sm 3.69
12 Tb 0.0644 0.3815 0.5000  2 Sm 3.56, 6 Tb 3.56-3.66, 4 La 3.68
13 Tb 0.5644 0.3821 0.7500  3 Sm 3.56-3.66, 5 Tb 3.56-3.66, 4 La 3.68-3.69
14 La 0.5644 0.1290 0.5000  8 La 3.66-3.71, 4 Tb 3.68
15 La 0.0644 0.1282 0.7499  8 La 3.66-3.71, 3 Tb 3.68-3.69, 1 Sm 3.69
16 Tb 0.0644 0.6179 0.2500  3 Sm 3.56-3.66, 5 Tb 3.56-3.66, 4 La 3.68-3.69

=====

Density of states at the Fermi level (computed, states/eV/cell): 0.000 1.682 8.165 13.047 10.611 8.836 3.756 19.930 3.610 4.470 3.256 28.217